(1)
CoNi2Hg: relaxed, PBE-GGA.

Cell: 4.447 4.447 4.736 Å, 79.99 79.99 36.16°
Each line ends with the local moment (μB).
Positions (direct):
1 Co 0.250 0.250 0.250  1.64
2 Hg 0.750 0.750 0.750  -0.03
3 Ni 0.992 0.992 0.039  0.54
4 Ni 0.508 0.508 0.461  0.54

Summary:
Its energy of formation is 7.1 kcal/mol of atoms. As for the total energy: -0.1630 Ha/atom.

(2)
ZrSbNF2: relaxed, PBE-GGA.

Cell: 4.264 4.264 4.386 Å, 90.00 90.00 90.00°
Each line ends with the local moment (μB).
Positions (direct):
1 Sb 0.500 0.500 0.500  0.26
2 N 0.000 0.000 0.500  0.00
3 Zr 0.000 0.000 0.000  0.04
4 F 0.000 0.500 0.000  0.04
5 F 0.500 0.000 0.000  0.04

Summary:
The value obtained for the polymorph energy (0 for the lowest one) is 0.0 kJ/mol of atoms. As for the total energy: -0.2329 Ha/atom. The energy relative to the elements, uncorrected comes out at -6.95 eV per formula unit.

(3)
MgSc4Rh: relaxed, PBE-GGA.

Cell: 5.672 5.672 5.672 Å, 60.00 60.00 60.00°
Positions (direct):
1 Mg 0.750 0.750 0.750
2 Sc 0.880 0.373 0.373
3 Sc 0.373 0.373 0.880
4 Sc 0.373 0.880 0.373
5 Sc 0.373 0.373 0.373
6 Rh 0.000 0.000 0.000

Summary:
Its energy of formation is 6.0 kcal/mol of atoms. The value obtained for the polymorph energy (0 for the lowest one) is 60.4 kJ/mol of atoms. As for the total energy: -0.2004 Ha/atom.

(4)
ScPBr2: relaxed, PBE-GGA.

Cell: 8.280 8.280 8.280 Å, 154.86 152.51 37.59°
Positions (direct):
1 Sc 0.500 0.000 0.500
2 P 0.000 0.500 0.500
3 Br 0.645 0.645 0.000
4 Br 0.355 0.355 0.000

Summary:
The value obtained for the polymorph energy (0 for the lowest one) is 18.6 kJ/mol of atoms. As for the total energy: -0.1665 Ha/atom. The energy relative to the elements, uncorrected comes out at -3.04 eV per formula unit.